Entry 1:
Here is an optimized crystal structure of Li2CdPbAu4 from the Alexandria database. Energies are from PBE.

Computed properties:
As for the calculated volume: 19.01 A^3/atom. Its calculated formation energy is -2.5 eV/f.u. The total magnetic moment is 0.000 μB per cell. The calculation puts the total energy at -3.009 eV per atom.

Cell and atoms, written as extended XYZ:
```
8
Lattice="4.6811 0.0000 0.0000 2.3405 4.0539 0.0000 2.3405 1.3513 8.0135" Properties=species:S:1:pos:R:3 pbc="T T T"
Li 7.0216 4.0539 5.9267
Li 2.3405 1.3513 2.0867
Cd 4.6811 2.7026 4.0067
Pb 0.0000 0.0000 0.0000
Au 4.6811 2.7026 6.7951
Au 7.0216 4.0539 3.0674
Au 2.3405 1.3513 4.9460
Au 4.6811 2.7026 1.2183
```



Entry 2:
Here is an optimized crystal structure of LiCd2PbAu4 from the Alexandria database. Energies are from PBE.

Computed properties:
As for the calculated volume: 20.30 A^3/atom. Its calculated formation energy is -1.7 eV/f.u. The total magnetic moment is 0.000 μB per cell. The calculation puts the total energy at -2.786 eV per atom.

Cell and atoms, written as extended XYZ:
```
8
Lattice="-2.4157 2.1755 3.4155 -2.2384 -2.5347 3.2861 5.3714 0.0086 7.0485" Properties=species:S:1:pos:R:3 pbc="T T T"
Li 0.3586 -0.1753 6.8750
Cd 0.3983 -0.2655 10.2155
Cd 0.3189 -0.0850 3.5346
Pb 0.0000 0.0000 0.0000
Au 2.6328 -0.1331 8.4567
Au -1.9243 -0.3085 8.6002
Au 2.6415 -0.0420 5.1499
Au -1.9155 -0.2174 5.2934
```



Entry 3:
Here is an optimized crystal structure of Li2Cd2PdAu5 from the Alexandria database. Energies are from PBE.

Computed properties:
As for the calculated volume: 17.54 A^3/atom. Its calculated formation energy is -2.6 eV/f.u. The total magnetic moment is 0.000 μB per cell. The calculation puts the total energy at -2.983 eV per atom.

Cell and atoms, written as extended XYZ:
```
20
Lattice="4.0432 0.0000 0.0000 0.0000 9.3150 0.0000 0.0000 0.0000 9.3150" Properties=species:S:1:pos:R:3 pbc="T T T"
Li 0.0000 1.1451 5.8026
Li 0.0000 8.1699 3.5124
Li 0.0000 5.8026 8.1699
Li 0.0000 3.5124 1.1451
Cd 0.0000 6.2861 1.6286
Cd 0.0000 3.0290 7.6865
Cd 0.0000 1.6286 3.0290
Cd 0.0000 7.6865 6.2861
Pd 0.0000 0.0000 0.0000
Pd 0.0000 4.6575 4.6575
Au 2.0216 1.8738 0.7498
Au 2.0216 7.4413 8.5653
Au 2.0216 0.7498 7.4413
Au 2.0216 6.5313 3.9078
Au 2.0216 8.5653 1.8738
Au 2.0216 2.7838 5.4073
Au 2.0216 5.4073 6.5313
Au 2.0216 3.9078 2.7838
Au 2.0216 4.6575 0.0000
Au 2.0216 0.0000 4.6575
```



- Among the records above, which one has the highest calculated formation energy?
  LiCd2PbAu4



- The highest calculated formation energy belongs to which entry?
  LiCd2PbAu4